Y3BPb: relaxed, GGA-PBE.

## Properties
Space-group type   P6_3/mmc (194)
VASP energy   -60.7 eV per cell

Lattice parameters (Å, degrees): 5.135 5.135 10.522 90.00 90.00 120.00
Positions (direct):
Y  0.000  0.000  0.250
Y  0.000  0.000  0.750
Y  0.333  0.667  0.057
Y  0.333  0.667  0.443
Y  0.667  0.333  0.557
Y  0.667  0.333  0.943
B  0.000  0.000  0.000
B  0.000  0.000  0.500
Pb  0.333  0.667  0.750
Pb  0.667  0.333  0.250

Y3BPb: relaxed, GGA-PBE.

## Properties
Space-group type   Cmmm (65)
VASP energy   -63.1 eV per cell

Lattice parameters (Å, degrees): 8.162 8.162 5.020 90.00 90.00 129.08
Positions (direct):
Y  0.000  0.500  0.500
Y  0.133  0.867  0.000
Y  0.255  0.255  0.500
Y  0.500  0.000  0.500
Y  0.745  0.745  0.500
Y  0.867  0.133  0.000
B  0.122  0.878  0.500
B  0.878  0.122  0.500
Pb  0.365  0.635  0.000
Pb  0.635  0.365  0.000

Y3BPb: relaxed, GGA-PBE.

## Properties
Space-group type   Pm (6)
VASP energy   -31.3 eV per cell

Lattice parameters (Å, degrees): 3.671 5.061 6.955 90.00 91.07 90.00
Positions (direct):
Y  0.000  0.000  0.000
Y  0.018  0.000  0.509
Y  0.506  0.500  0.254
B  0.512  0.000  0.254
Pb  0.508  0.500  0.754

YBPb3: relaxed, GGA-PBE.

## Properties
Energy relative to the lowest polymorph listed for this composition   0.000 eV per atom
Space-group type   Pm-3m (221)

Lattice parameters (Å, degrees): 5.110 5.110 5.110 90.00 90.00 90.00
Positions (direct):
Y  0.000  0.000  0.000
B  0.500  0.500  0.500
Pb  0.000  0.500  0.500
Pb  0.500  0.000  0.500
Pb  0.500  0.500  0.000

Y3BPb: relaxed, GGA-PBE.

## Properties
Space-group type   P-1 (2)
VASP energy   -62.6 eV per cell

Lattice parameters (Å, degrees): 4.526 7.292 8.327 67.84 85.89 87.65
Positions (direct):
Y  0.197  0.436  0.296
Y  0.253  0.857  0.393
Y  0.268  0.210  0.919
Y  0.732  0.790  0.081
Y  0.747  0.143  0.607
Y  0.803  0.564  0.704
B  0.377  0.444  0.584
B  0.623  0.556  0.416
Pb  0.263  0.816  0.807
Pb  0.737  0.184  0.193

Y3BPb: relaxed, GGA-PBE.

## Properties
Space-group type   Pnma (62)
VASP energy   -119.0 eV per cell

Lattice parameters (Å, degrees): 7.471 9.594 7.864 90.00 90.00 90.00
Positions (direct):
Y  0.131  0.075  0.146
Y  0.131  0.425  0.146
Y  0.174  0.250  0.705
Y  0.326  0.750  0.205
Y  0.369  0.575  0.646
Y  0.369  0.925  0.646
Y  0.631  0.075  0.354
Y  0.631  0.425  0.354
Y  0.674  0.250  0.795
Y  0.826  0.750  0.295
Y  0.869  0.575  0.854
Y  0.869  0.925  0.854
B  0.028  0.750  0.030
B  0.472  0.250  0.530
B  0.528  0.750  0.470
B  0.972  0.250  0.970
Pb  0.000  0.000  0.500
Pb  0.000  0.500  0.500
Pb  0.500  0.000  0.000
Pb  0.500  0.500  0.000

Y3BPb: relaxed, GGA-PBE.

## Properties
Space-group type   I-4m2 (119)
VASP energy   -52.3 eV per cell

Lattice parameters (Å, degrees): 11.719 11.719 11.719 150.97 150.97 41.52
Positions (direct):
Y  0.223  0.223  0.000
Y  0.375  0.129  0.754
Y  0.375  0.621  0.246
Y  0.379  0.625  0.754
Y  0.777  0.777  0.000
Y  0.871  0.625  0.246
B  0.714  0.214  0.500
B  0.786  0.286  0.500
Pb  0.250  0.750  0.500
Pb  0.500  0.500  0.000

Y3BPb: relaxed, GGA-PBE.

## Properties
Space-group type   Cmcm (63)
VASP energy   -57.9 eV per cell

Lattice parameters (Å, degrees): 7.119 7.119 6.330 90.00 90.00 124.33
Positions (direct):
Y  0.000  0.000  0.000
Y  0.000  0.000  0.500
Y  0.047  0.455  0.750
Y  0.455  0.047  0.250
Y  0.545  0.953  0.750
Y  0.953  0.545  0.250
B  0.157  0.843  0.750
B  0.843  0.157  0.250
Pb  0.435  0.565  0.250
Pb  0.565  0.435  0.750

YBPb3: relaxed, GGA-PBE.

## Properties
Energy relative to the lowest polymorph listed for this composition   0.907 eV per atom
Space-group type   Pm-3m (221)

Lattice parameters (Å, degrees): 5.886 5.886 5.886 90.00 90.00 90.00
Positions (direct):
Y  0.000  0.000  0.000
B  0.500  0.500  0.500
Pb  0.000  0.000  0.500
Pb  0.000  0.500  0.000
Pb  0.500  0.000  0.000

Y3BPb: relaxed, GGA-PBE.

## Properties
Space-group type   Fd-3m (227)
VASP energy   -120.7 eV per cell

Lattice parameters (Å, degrees): 9.490 9.490 9.490 60.00 60.00 60.00
Positions (direct):
Y  0.077  0.077  0.673
Y  0.077  0.673  0.077
Y  0.077  0.673  0.673
Y  0.327  0.327  0.923
Y  0.327  0.923  0.327
Y  0.327  0.923  0.923
Y  0.673  0.077  0.077
Y  0.673  0.077  0.673
Y  0.673  0.673  0.077
Y  0.923  0.327  0.327
Y  0.923  0.327  0.923
Y  0.923  0.923  0.327
B  0.000  0.000  0.000
B  0.000  0.000  0.500
B  0.000  0.500  0.000
B  0.500  0.000  0.000
Pb  0.000  0.500  0.500
Pb  0.500  0.000  0.500
Pb  0.500  0.500  0.000
Pb  0.500  0.500  0.500

Y3BPb: relaxed, GGA-PBE.

## Properties
Space-group type   P4/mmm (123)
VASP energy   -31.0 eV per cell

Lattice parameters (Å, degrees): 3.826 3.826 8.788 90.00 90.00 90.00
Positions (direct):
Y  0.000  0.000  0.000
Y  0.500  0.500  0.286
Y  0.500  0.500  0.714
B  0.500  0.500  0.000
Pb  0.000  0.000  0.500

Y3BPb: relaxed, GGA-PBE.

## Properties
Space-group type   Pmma (51)
VASP energy   -61.6 eV per cell

Lattice parameters (Å, degrees): 8.666 3.774 8.166 90.00 90.00 90.00
Positions (direct):
Y  0.047  0.000  0.222
Y  0.250  0.500  0.522
Y  0.453  0.000  0.222
Y  0.547  0.000  0.778
Y  0.750  0.500  0.478
Y  0.953  0.000  0.778
B  0.250  0.500  0.233
B  0.750  0.500  0.767
Pb  0.250  0.500  0.932
Pb  0.750  0.500  0.068

Y3BPb: relaxed, GGA-PBE.

## Properties
Space-group type   C2/c (15)
VASP energy   -122.3 eV per cell

Lattice parameters (Å, degrees): 7.930 7.930 8.444 90.51 90.51 104.61
Positions (direct):
Y  0.070  0.808  0.991
Y  0.086  0.452  0.690
Y  0.192  0.930  0.509
Y  0.325  0.543  0.066
Y  0.452  0.086  0.190
Y  0.457  0.675  0.434
Y  0.543  0.325  0.566
Y  0.548  0.914  0.810
Y  0.675  0.457  0.934
Y  0.808  0.070  0.491
Y  0.914  0.548  0.310
Y  0.930  0.192  0.009
B  0.226  0.774  0.250
B  0.433  0.567  0.750
B  0.567  0.433  0.250
B  0.774  0.226  0.750
Pb  0.170  0.282  0.347
Pb  0.282  0.170  0.847
Pb  0.718  0.830  0.153
Pb  0.830  0.718  0.653

Y3BPb: relaxed, GGA-PBE.

## Properties
Space-group type   Pmmn (59)
VASP energy   -60.3 eV per cell

Lattice parameters (Å, degrees): 5.256 6.462 7.524 90.00 90.00 90.00
Positions (direct):
Y  0.250  0.011  0.147
Y  0.250  0.489  0.147
Y  0.250  0.750  0.567
Y  0.750  0.250  0.433
Y  0.750  0.511  0.853
Y  0.750  0.989  0.853
B  0.250  0.250  0.404
B  0.750  0.750  0.596
Pb  0.250  0.250  0.735
Pb  0.750  0.750  0.265

Y4BPb2: relaxed, GGA-PBE.

## Properties
Space-group type   I4/mmm (139)
VASP energy   -43.1 eV per cell

Lattice parameters (Å, degrees): 8.819 8.819 8.819 147.56 147.56 46.54
Positions (direct):
Y  0.000  0.500  0.500
Y  0.164  0.164  0.000
Y  0.500  0.000  0.500
Y  0.836  0.836  0.000
B  0.000  0.000  0.000
Pb  0.361  0.361  0.000
Pb  0.639  0.639  0.000

Y3BPb: relaxed, GGA-PBE.

## Properties
Space-group type   Pm (6)
VASP energy   -62.5 eV per cell

Lattice parameters (Å, degrees): 8.972 3.355 9.494 90.00 117.73 90.00
Positions (direct):
Y  0.000  0.000  0.000
Y  0.025  0.500  0.344
Y  0.319  0.000  0.698
Y  0.502  0.000  0.382
Y  0.656  0.000  0.084
Y  0.935  0.500  0.639
B  0.725  0.500  0.339
B  0.795  0.000  0.389
Pb  0.306  0.500  0.000
Pb  0.655  0.500  0.751

Y3BPb: relaxed, GGA-PBE.

## Properties
Space-group type   C2/m (12)
VASP energy   -62.3 eV per cell

Lattice parameters (Å, degrees): 10.744 10.744 5.173 103.88 103.88 27.05
Positions (direct):
Y  0.057  0.057  0.308
Y  0.174  0.174  0.924
Y  0.311  0.311  0.562
Y  0.689  0.689  0.438
Y  0.826  0.826  0.076
Y  0.943  0.943  0.692
B  0.178  0.178  0.428
B  0.822  0.822  0.572
Pb  0.428  0.428  0.177
Pb  0.572  0.572  0.823

Y3BPb: relaxed, GGA-PBE.

## Properties
Space-group type   Pm (6)
VASP energy   -63.2 eV per cell

Lattice parameters (Å, degrees): 8.475 3.965 8.476 90.00 117.31 90.00
Positions (direct):
Y  0.000  0.000  0.000
Y  0.005  0.500  0.627
Y  0.247  0.000  0.476
Y  0.398  0.500  0.233
Y  0.588  0.500  0.816
Y  0.772  0.000  0.229
B  0.050  0.500  0.278
B  0.862  0.500  0.091
Pb  0.328  0.000  0.900
Pb  0.671  0.000  0.557

Y3BPb: relaxed, GGA-PBE.

## Properties
Space-group type   R-3c (167)
VASP energy   -57.0 eV per cell

Lattice parameters (Å, degrees): 7.601 7.601 7.601 60.23 60.23 60.23
Positions (direct):
Y  0.067  0.750  0.433
Y  0.250  0.567  0.933
Y  0.433  0.067  0.750
Y  0.567  0.933  0.250
Y  0.750  0.433  0.067
Y  0.933  0.250  0.567
B  0.250  0.250  0.250
B  0.750  0.750  0.750
Pb  0.000  0.000  0.000
Pb  0.500  0.500  0.500

Y3BPb: relaxed, GGA-PBE.

## Properties
Space-group type   P2_1/c (14)
VASP energy   -124.8 eV per cell

Lattice parameters (Å, degrees): 9.372 6.569 9.419 90.00 113.23 90.00
Positions (direct):
Y  0.067  0.071  0.355
Y  0.067  0.429  0.855
Y  0.187  0.583  0.542
Y  0.187  0.917  0.042
Y  0.366  0.144  0.765
Y  0.366  0.356  0.265
Y  0.634  0.644  0.735
Y  0.634  0.856  0.235
Y  0.813  0.083  0.958
Y  0.813  0.417  0.458
Y  0.933  0.571  0.145
Y  0.933  0.929  0.645
B  0.086  0.249  0.114
B  0.086  0.251  0.614
B  0.914  0.749  0.386
B  0.914  0.751  0.886
Pb  0.386  0.678  0.895
Pb  0.386  0.822  0.395
Pb  0.614  0.178  0.605
Pb  0.614  0.322  0.105

Y3BPb: relaxed, GGA-PBE.

## Properties
Space-group type   Amm2 (38)
VASP energy   -28.0 eV per cell

Lattice parameters (Å, degrees): 3.709 8.533 8.533 51.37 90.00 90.00
Positions (direct):
Y  0.000  0.000  0.000
Y  0.500  0.043  0.595
Y  0.500  0.595  0.043
B  0.000  0.844  0.844
Pb  0.500  0.165  0.165